Record 1
LiYOs2: optimized geometry, GGA-PBE.

Energy relative to the lowest polymorph listed for this composition, kJ per mole of atoms: 33.5
Calculated total energy, eV/atom: -7.17

Cell lengths 2.8097, 2.8097, 28.8530 Å; angles 90.00, 90.00, 120.00 degrees
Space group R-3m (No. 166, hexagonal axes)
Unique sites:
1 Li 0.0000 0.0000 0.0000 x3
2 Y 0.0000 0.0000 0.5000 x3
3 Os 0.0000 0.0000 0.2560 x6

=====

Record 2
Al2TcMo: optimized geometry, GGA-PBE.

Energy relative to the lowest polymorph listed for this composition, kJ per mole of atoms: 19.0
Calculated total energy, eV/atom: -7.33

Cell lengths 9.494, 3.172, 4.439 Å; angles 90.00, 116.75, 90.00 degrees
Space group C2/m (No. 12)
Unique sites:
1 Al 0.247 0.000 0.246 x4
2 Tc 0.000 0.500 0.000 x2
3 Mo 0.000 0.000 0.500 x2

=====

The highest energy relative to the lowest polymorph listed for this composition belongs to which entry? LiYOs2